{"formula": "ZrCuTc2O", "functional": "GGA-PBEsol", "state": "relaxed", "total_energy_ev_per_cell": -35.2, "magmom_total_mub_per_cell": 4.7, "dos_ef_per_ev_atom": 1.103, "lattice_angstrom": [[3.930, 0.000, 0.000], [0.000, 4.891, 0.000], [0.000, 0.000, 4.891]], "species": ["Tc", "Tc", "O", "Zr", "Cu"], "fractional_positions": [[0.000, 0.500, 0.000], [0.000, 0.000, 0.500], [0.500, 0.000, 0.000], [0.000, 0.000, 0.000], [0.500, 0.500, 0.500]]}

{"formula": "CuTeO3", "functional": "GGA-PBEsol", "state": "relaxed", "total_energy_ev_per_cell": -25.1, "magmom_total_mub_per_cell": 0.1, "dos_ef_per_ev_atom": 1.580, "lattice_angstrom": [[3.989, 0.000, 0.000], [0.000, 3.989, 0.000], [0.000, 0.000, 3.989]], "species": ["O", "O", "O", "Cu", "Te"], "fractional_positions": [[0.000, 0.000, 0.500], [0.000, 0.500, 0.000], [0.500, 0.000, 0.000], [0.500, 0.500, 0.500], [0.000, 0.000, 0.000]]}

{"formula": "Cu3Te2O10", "functional": "GGA-PBEsol", "state": "relaxed", "total_energy_ev_per_cell": -82.0, "magmom_total_mub_per_cell": 3.1, "dos_ef_per_ev_atom": 0.270, "lattice_angstrom": [[5.145, -0.051, 0.039], [-1.476, 5.245, 0.015], [-0.923, -2.740, 7.061]], "species": ["O", "O", "O", "O", "O", "O", "O", "O", "O", "O", "Cu", "Cu", "Cu", "Te", "Te"], "fractional_positions": [[0.074, 0.053, 0.845], [0.911, 0.675, 0.455], [0.926, 0.947, 0.155], [0.684, 0.276, 0.054], [0.089, 0.325, 0.545], [0.316, 0.724, 0.946], [0.488, 0.864, 0.675], [0.195, 0.451, 0.203], [0.512, 0.136, 0.325], [0.805, 0.549, 0.797], [0.297, 0.116, 0.096], [0.703, 0.884, 0.904], [0.000, 0.500, 0.000], [0.122, 0.711, 0.693], [0.878, 0.289, 0.307]]}

no.,uncorrected formation energy (meV/atom)
1,1205
2,-308
3,-628